[1]
Compound: HgSb2As
Source: the Alexandria database
Functional: GGA-PBE
Structure: relaxed

a b c (Å): 4.3850 4.4671 6.1700
angles (deg): 110.82 104.87 97.40
With the nearest neighbours (Å) after each atom.
Positions (direct):
Sb1 0.3837 0.6181 0.8450  1 As 2.73, 1 Hg 3.04
Sb2 0.8921 0.7675 0.4709  1 As 2.74, 1 Sb 3.05
Hg1 0.9201 0.2354 0.0010  1 As 2.94, 5 Sb 3.04-3.23
As1 0.3711 0.1555 0.4097  2 Sb 2.73-2.74, 1 Hg 2.94

Calculated values
Uncorrected formation energy   0.136 eV/atom
Mass density   8.14 Mg/m³
Excess energy over the best structure of this formula in the dataset   0.42 eV per formula unit
DFT total energy   -3.1634 eV per atom

=====

[2]
Compound: KNiSnS3
Source: the Alexandria database
Functional: GGA-PBE
Structure: relaxed

a b c (Å): 3.9352 8.7772 8.8852
angles (deg): 106.87 90.00 90.00
With the nearest neighbours (Å) after each atom.
Positions (direct):
S1 0.7500 0.4564 0.1593  3 Sn 2.59-2.74
S2 0.2500 0.8144 0.4494  3 Ni 2.22-2.24
S3 0.2500 0.1286 0.8461  1 Ni 2.33
S4 0.7500 0.8714 0.1539  1 Ni 2.33
S5 0.2500 0.5436 0.8407  3 Sn 2.59-2.74
S6 0.7500 0.1856 0.5506  3 Ni 2.22-2.24
Ni1 0.2500 0.0763 0.5737  4 S 2.22-2.33
Ni2 0.7500 0.9237 0.4263  4 S 2.22-2.33
Sn1 0.7500 0.3323 0.8566  6 S 2.59-2.74
Sn2 0.2500 0.6677 0.1434  6 S 2.59-2.74
K1 0.7500 0.8118 0.7650  7 S 3.28-3.43, 1 Ni 3.43
K2 0.2500 0.1882 0.2350  7 S 3.28-3.43, 1 Ni 3.43

Calculated values
Uncorrected formation energy   -0.616 eV/atom
Mass density   3.54 Mg/m³
DFT total energy   -4.4930 eV per atom

=====

[3]
Compound: InPtCl2
Source: the Alexandria database
Functional: GGA-PBE
Structure: relaxed

a b c (Å): 8.5989 8.5989 8.5989
angles (deg): 24.72 24.72 24.72
With the nearest neighbours (Å) after each atom.
Positions (direct):
Cl1 0.2259 0.2259 0.2259  3 In 2.75
Cl2 0.0286 0.0286 0.0286  3 Pt 2.62
In1 0.4893 0.4893 0.4893  3 Pt 2.70, 3 Cl 2.75
Pt1 0.7563 0.7563 0.7563  3 Cl 2.62, 3 In 2.70

Calculated values
Uncorrected formation energy   -0.373 eV/atom
Mass density   6.47 Mg/m³
Excess energy over the best structure of this formula in the dataset   0.26 eV per formula unit
DFT total energy   -3.4911 eV per atom

=====

[4]
Compound: Ba2TlSbS5
Source: the Alexandria database
Functional: GGA-PBE
Structure: relaxed

a b c (Å): 4.2169 9.5230 12.8953
angles (deg): 90.00 90.00 102.79
With the nearest neighbours (Å) after each atom.
Positions (direct):
Ba1 0.8679 0.7358 0.8057  8 S 3.20-3.52
Ba2 0.1321 0.2642 0.3057  8 S 3.20-3.52
Ba3 0.8851 0.7702 0.1872  8 S 3.16-3.43
Ba4 0.1149 0.2298 0.6872  8 S 3.16-3.43
Tl1 0.5562 0.1125 0.9500  4 S 2.52-2.69
Tl2 0.4438 0.8875 0.4500  4 S 2.52-2.69
S1 0.5041 0.0083 0.2753  1 Tl 2.52
S2 0.0439 0.0878 0.0639  2 Tl 2.58
S3 0.7163 0.4326 0.1564  2 Sb 2.76
S4 0.2837 0.5674 0.6564  2 Sb 2.76
S5 0.9561 0.9122 0.5639  2 Tl 2.58
S6 0.4959 0.9917 0.7753  1 Tl 2.52
S7 0.6892 0.3784 0.8674  1 Tl 2.69, 2 Sb 2.92
S8 0.6487 0.2973 0.4992  1 Sb 2.49
S9 0.3108 0.6216 0.3674  1 Tl 2.69, 2 Sb 2.92
S10 0.3513 0.7027 0.9992  1 Sb 2.49
Sb1 0.7821 0.5641 0.5187  3 S 2.49-2.76
Sb2 0.2179 0.4359 0.0187  3 S 2.49-2.76

Calculated values
Uncorrected formation energy   -1.078 eV/atom
Mass density   5.01 Mg/m³
DFT total energy   -4.5189 eV per atom

=====

[5]
Compound: Al2GaFe
Source: the Alexandria database
Functional: GGA-PBE
Structure: relaxed

a b c (Å): 3.5803 3.9072 3.9072
angles (deg): 90.00 90.00 90.00
With the nearest neighbours (Å) after each atom.
Positions (direct):
Al1 0.0000 0.0000 0.5000  4 Fe 2.65, 4 Ga 2.65, 4 Al 2.76
Al2 0.0000 0.5000 0.0000  4 Fe 2.65, 4 Ga 2.65, 4 Al 2.76
Ga1 0.5000 0.5000 0.5000  8 Al 2.65, 4 Fe 2.76
Fe1 0.5000 0.0000 0.0000  8 Al 2.65, 4 Ga 2.76

Calculated values
Formation energy from the elements   -0.21 eV/f.u.
Mass density   5.45 Mg/m³
DFT total energy   -4.7957 eV per atom

=====

[6]
Compound: Er4NiI5
Source: the Alexandria database
Functional: GGA-PBE
Structure: relaxed

a b c (Å): 4.0470 8.8006 9.8795
angles (deg): 102.24 101.82 90.00
With the nearest neighbours (Å) after each atom.
Positions (direct):
Er1 0.6384 0.0712 0.2768  1 Ni 2.61
Er2 0.0002 0.1978 0.0004  2 Ni 2.67
Er3 0.9998 0.8022 0.9996  2 Ni 2.67
Er4 0.3616 0.9288 0.7232  1 Ni 2.61
I1 0.1772 0.8311 0.3544  4 Er 3.13-3.48
I2 0.5000 0.5000 0.0000  4 Er 3.34
I3 0.8322 0.6568 0.6645  3 Er 3.09-3.22
I4 0.1678 0.3432 0.3355  3 Er 3.09-3.22
I5 0.8228 0.1689 0.6456  4 Er 3.13-3.48
Ni1 0.5000 0.0000 0.0000  6 Er 2.61-2.67

Calculated values
Uncorrected formation energy   -1.036 eV/atom
Mass density   6.73 Mg/m³
DFT total energy   -4.2144 eV per atom

=====

[7]
Compound: ZnSi2Cl
Source: the Alexandria database
Functional: GGA-PBE
Structure: relaxed

a b c (Å): 6.0719 6.0719 4.7102
angles (deg): 67.87 67.87 27.19
With the nearest neighbours (Å) after each atom.
Positions (direct):
Si1 0.0473 0.0473 0.9385  4 Si 2.55-2.85
Si2 0.7390 0.7390 0.8262  2 Cl 2.42, 2 Si 2.55
Cl1 0.2550 0.2550 0.2231  2 Si 2.42
Zn1 0.4587 0.4587 0.5122  6 Si 2.82-2.96, 2 Zn 2.85

Calculated values
Uncorrected formation energy   0.251 eV/atom
Mass density   3.57 Mg/m³
Excess energy over the best structure of this formula in the dataset   1.02 eV per formula unit
DFT total energy   -3.2411 eV per atom

=====

[8]
Compound: Cd4HgMo
Source: the Alexandria database
Functional: GGA-PBE
Structure: relaxed

a b c (Å): 5.7221 5.7221 5.7221
angles (deg): 60.00 60.00 60.00
With the nearest neighbours (Å) after each atom.
Positions (direct):
Cd1 0.3746 0.3746 0.3746  6 Cd 2.85-2.87
Cd2 0.3746 0.8762 0.3746  6 Cd 2.85-2.87
Cd3 0.8762 0.3746 0.3746  6 Cd 2.85-2.87
Cd4 0.3746 0.3746 0.8762  6 Cd 2.85-2.87
Mo1 0.0000 0.0000 0.0000  12 Cd 3.35, 4 Hg 3.50
Hg1 0.7500 0.7500 0.7500  12 Cd 3.36, 4 Mo 3.50

Calculated values
Formation energy from the elements   3.40 eV/f.u.
Mass density   9.35 Mg/m³
DFT total energy   -1.8981 eV per atom